1.
Here is an optimized crystal structure of Y2Zn2Os from the Alexandria database. Energies are from GGA-PBEsol.

As for the density of states at the Fermi level: 2.296 states/eV/f.u. The value obtained for the energy of formation from the pure elements is -0.085 eV per atom. Its energy is -5.890 eV per atom.

The structure belongs to space group I4/mmm (No. 139); the cell edges are 3.4095, 3.4095 and 17.7387 Å and the angles 90.00°, 90.00° and 90.00°. The asymmetric unit holds Y at (0.0000, 0.0000, 0.0923), Zn at (0.0000, 0.5000, 0.2500) and Os at (0.0000, 0.0000, 0.5000).


2.
Here is an optimized crystal structure of LiGaSbI2 from the Alexandria database. Energies are from GGA-PBEsol.

As for the density of states at the Fermi level: 3.096 states/eV/f.u. The uncorrected formation energy comes out at 0.031 eV per atom. Its energy is -2.649 eV per atom.

The structure belongs to space group P4/mmm (No. 123); the cell edges are 5.4078, 5.4078 and 4.9939 Å and the angles 90.00°, 90.00° and 90.00°. The asymmetric unit holds Li at (0.0000, 0.0000, 0.0000), Ga at (0.5000, 0.5000, 0.5000), Sb at (0.0000, 0.0000, 0.5000) and I at (0.0000, 0.5000, 0.0000).


3.
Here is an optimized crystal structure of BaSrSc2Hg from the Alexandria database. Energies are from GGA-PBEsol.

As for the density of states at the Fermi level: 5.629 states/eV/f.u. The value obtained for the energy of formation from the pure elements is 0.739 eV per atom. Its energy is -2.815 eV per atom.

The structure belongs to space group P4/mmm (No. 123); the cell edges are 5.4387, 5.4387 and 5.9702 Å and the angles 90.00°, 90.00° and 90.00°. The asymmetric unit holds Ba at (0.0000, 0.0000, 0.0000), Sr at (0.5000, 0.5000, 0.5000), Sc at (0.0000, 0.5000, 0.0000) and Hg at (0.0000, 0.0000, 0.5000).


4.
Here is an optimized crystal structure of Ni2SbPd2 from the Alexandria database. Energies are from GGA-PBEsol.

As for the density of states at the Fermi level: 7.443 states/eV/f.u. The uncorrected formation energy comes out at 0.083 eV per atom. Its energy is -5.675 eV per atom.

The structure belongs to space group I4/mmm (No. 139); the cell edges are 3.3510, 3.3510 and 13.5185 Å and the angles 90.00°, 90.00° and 90.00°. The asymmetric unit holds Ni at (0.0000, 0.5000, 0.2500), Sb at (0.0000, 0.0000, 0.0000) and Pd at (0.0000, 0.0000, 0.3927).


5.
Here is an optimized crystal structure of Hg2TeMo from the Alexandria database. Energies are from GGA-PBEsol.

As for the density of states at the Fermi level: 1.627 states/eV/f.u. The uncorrected formation energy comes out at 0.323 eV per atom. Its energy is -3.784 eV per atom.

The structure belongs to space group Imm2 (No. 44); the cell edges are 3.1366, 4.7588 and 12.6652 Å and the angles 90.00°, 90.00° and 90.00°. The asymmetric unit holds Hg at (0.0000, 0.0000, 0.0000), Hg at (0.0000, 0.5000, 0.1608), Te at (0.0000, 0.0000, 0.3545) and Mo at (0.0000, 0.5000, 0.6902).


6.
Here is an optimized crystal structure of MnCoAu2 from the Alexandria database. Energies are from GGA-PBEsol.

As for the density of states at the Fermi level: 3.473 states/eV/f.u. The value obtained for the energy of formation from the pure elements is 0.157 eV per atom. Its energy is -6.180 eV per atom.

The structure belongs to space group Cm (No. 8); the cell edges are 9.1080, 2.8577 and 4.6085 Å and the angles 90.00°, 105.86° and 90.00°. The asymmetric unit holds Mn at (0.0000, 0.0000, 0.0000), Co at (0.2815, 0.0000, 0.7482), Au at (0.0283, 0.5000, 0.5275) and Au at (0.2571, 0.5000, 0.2287).


7.
Here is an optimized crystal structure of TaAlSbI2 from the Alexandria database. Energies are from GGA-PBEsol.

As for the density of states at the Fermi level: 3.924 states/eV/f.u. The uncorrected formation energy comes out at 1.120 eV per atom. Its energy is -3.827 eV per atom.

The structure belongs to space group P4/mmm (No. 123); the cell edges are 5.2080, 5.2080 and 5.3077 Å and the angles 90.00°, 90.00° and 90.00°. The asymmetric unit holds Ta at (0.0000, 0.0000, 0.0000), Al at (0.5000, 0.5000, 0.5000), Sb at (0.5000, 0.5000, 0.0000) and I at (0.0000, 0.5000, 0.5000).


8.
Here is an optimized crystal structure of Rb2PuO4 from the Alexandria database. Energies are from GGA-PBEsol.

As for the density of states at the Fermi level: 3.293 states/eV/f.u. The uncorrected formation energy comes out at -2.298 eV per atom. Its energy is -7.755 eV per atom.

The structure belongs to space group I4/mmm (No. 139); the cell edges are 4.2883, 4.2883 and 13.8037 Å and the angles 90.00°, 90.00° and 90.00°. The asymmetric unit holds Rb at (0.0000, 0.0000, 0.1511), Pu at (0.0000, 0.0000, 0.5000), O at (0.0000, 0.0000, 0.3617) and O at (0.0000, 0.5000, 0.0000).